A relaxed La3TbY6 crystal, computed with PBE.

Uncorrected energy ... -5.56 eV/atom
Spin magnetization ... 0.00 μB/cell

Unit cell a=6.970 b=6.970 c=6.970 alpha=91.84 beta=91.84 gamma=91.84
Atoms (fractional coordinates):
La 0.000 0.000 0.000
La 0.248 0.248 0.248
La 0.752 0.752 0.752
Tb 0.500 0.500 0.500
Y 0.077 0.427 0.746
Y 0.254 0.923 0.573
Y 0.427 0.746 0.077
Y 0.573 0.254 0.923
Y 0.746 0.077 0.427
Y 0.923 0.573 0.254

A relaxed MgInSi3 crystal, computed with PBE.

ΔE_f (raw) ... 994 meV per atom
Spin magnetization ... 0.00 μB/cell

Unit cell a=4.950 b=4.950 c=4.950 alpha=90.00 beta=90.00 gamma=90.00
Atoms (fractional coordinates):
Mg 0.000 0.000 0.000
In 0.500 0.500 0.500
Si 0.000 0.000 0.500
Si 0.000 0.500 0.000
Si 0.500 0.000 0.000

A relaxed Ac2Ru2O7 crystal, computed with PBE.

ΔE_f (raw) ... -2022 meV per atom
Spin magnetization ... 2.33 μB/cell

Unit cell a=7.591 b=7.591 c=7.591 alpha=60.00 beta=60.00 gamma=60.00
Atoms (fractional coordinates):
Ac 0.000 0.000 0.000
Ac 0.000 0.000 0.500
Ac 0.000 0.500 0.000
Ac 0.500 0.000 0.000
Ru 0.000 0.500 0.500
Ru 0.500 0.000 0.500
Ru 0.500 0.500 0.000
Ru 0.500 0.500 0.500
O 0.125 0.125 0.125
O 0.177 0.177 0.573
O 0.177 0.573 0.177
O 0.177 0.573 0.573
O 0.427 0.427 0.823
O 0.427 0.823 0.427
O 0.427 0.823 0.823
O 0.573 0.177 0.177
O 0.573 0.177 0.573
O 0.573 0.573 0.177
O 0.823 0.427 0.427
O 0.823 0.427 0.823
O 0.823 0.823 0.427
O 0.875 0.875 0.875

A relaxed K7BrCl2O2 crystal, computed with PBE.

ΔE_f (raw) ... -1456 meV per atom
Spin magnetization ... 0.00 μB/cell

Unit cell a=5.224 b=5.224 c=13.771 alpha=100.91 beta=100.91 gamma=90.00
Atoms (fractional coordinates):
K 0.000 0.000 0.000
K 0.097 0.598 0.199
K 0.197 0.197 0.392
K 0.402 0.903 0.801
K 0.598 0.097 0.199
K 0.803 0.803 0.608
K 0.903 0.402 0.801
Br 0.500 0.500 0.000
Cl 0.318 0.318 0.631
Cl 0.682 0.682 0.369
O 0.100 0.100 0.201
O 0.900 0.900 0.799

A relaxed Pr2MnN3 crystal, computed with PBE.

ΔE_f (raw) ... -973 meV per atom
Spin magnetization ... 0.51 μB/cell

Unit cell a=6.806 b=6.806 c=5.326 alpha=90.00 beta=90.00 gamma=46.70
Atoms (fractional coordinates):
Pr 0.098 0.602 0.750
Pr 0.398 0.902 0.750
Pr 0.602 0.098 0.250
Pr 0.902 0.398 0.250
Mn 0.293 0.707 0.250
Mn 0.707 0.293 0.750
N 0.055 0.635 0.250
N 0.365 0.945 0.250
N 0.500 0.500 0.000
N 0.500 0.500 0.500
N 0.635 0.055 0.750
N 0.945 0.365 0.750

A relaxed BaZnHg3 crystal, computed with PBE.

Uncorrected energy ... -1.14 eV/atom
Spin magnetization ... 0.00 μB/cell

Unit cell a=5.220 b=5.220 c=6.206 alpha=112.99 beta=112.99 gamma=90.31
Atoms (fractional coordinates):
Ba 0.000 0.000 0.000
Zn 0.671 0.671 0.308
Hg 0.256 0.740 0.489
Hg 0.388 0.388 0.800
Hg 0.740 0.256 0.489

A relaxed YZrZn2 crystal, computed with PBE.

Uncorrected energy ... -4.68 eV/atom
Spin magnetization ... 0.00 μB/cell

Unit cell a=3.469 b=3.469 c=6.853 alpha=90.00 beta=90.00 gamma=90.00
Atoms (fractional coordinates):
Y 0.000 0.000 0.000
Zr 0.000 0.000 0.500
Zn 0.500 0.500 0.274
Zn 0.500 0.500 0.726

A relaxed NaPm5In6 crystal, computed with PBE.

Uncorrected energy ... -3.89 eV/atom
Spin magnetization ... 0.00 μB/cell

Unit cell a=8.560 b=8.560 c=7.720 alpha=90.00 beta=90.00 gamma=143.32
Atoms (fractional coordinates):
Na 0.000 0.000 0.000
Pm 0.000 0.000 0.500
Pm 0.333 0.667 0.500
Pm 0.338 0.662 0.000
Pm 0.662 0.338 0.000
Pm 0.667 0.333 0.500
In 0.165 0.835 0.245
In 0.165 0.835 0.755
In 0.500 0.500 0.246
In 0.500 0.500 0.754
In 0.835 0.165 0.245
In 0.835 0.165 0.755

A relaxed Y2AgPd crystal, computed with PBE.

Uncorrected energy ... -5.00 eV/atom
Spin magnetization ... 0.00 μB/cell

Unit cell a=6.436 b=6.436 c=6.436 alpha=151.09 beta=129.16 gamma=59.55
Atoms (fractional coordinates):
Y 0.237 0.237 0.000
Y 0.763 0.763 0.000
Ag 0.500 0.500 0.000
Pd 0.000 0.000 0.000

A relaxed NaCdIn2 crystal, computed with PBE.

Uncorrected energy ... -2.01 eV/atom
Spin magnetization ... 0.00 μB/cell

Unit cell a=4.610 b=4.610 c=4.715 alpha=90.00 beta=90.00 gamma=90.00
Atoms (fractional coordinates):
Na 0.000 0.000 0.000
Cd 0.500 0.500 0.000
In 0.000 0.500 0.500
In 0.500 0.000 0.500

A relaxed TmScCd6 crystal, computed with PBE.

Uncorrected energy ... -2.27 eV/atom
Spin magnetization ... 0.00 μB/cell

Unit cell a=4.808 b=6.372 c=6.372 alpha=67.82 beta=90.00 gamma=90.00
Atoms (fractional coordinates):
Tm 0.000 0.000 0.000
Sc 0.500 0.740 0.740
Cd 0.000 0.053 0.492
Cd 0.000 0.492 0.053
Cd 0.000 0.551 0.551
Cd 0.500 0.194 0.194
Cd 0.500 0.248 0.683
Cd 0.500 0.683 0.248

A relaxed LaIr2Se crystal, computed with PBE.

ΔE_f (raw) ... -198 meV per atom
Spin magnetization ... 0.00 μB/cell

Unit cell a=3.173 b=4.813 c=4.969 alpha=90.00 beta=90.00 gamma=90.00
Atoms (fractional coordinates):
La 0.000 0.000 0.000
Ir 0.000 0.500 0.500
Ir 0.500 0.500 0.000
Se 0.500 0.000 0.500